DFT (PBE-GGA) results for CaCdTc2 after structural relaxation.

Cell: 5.614 5.614 5.614 Å, 144.66 133.02 60.13°
Atoms (fractional coordinates):
Ca  0.000  0.000  0.000
Cd  0.500  0.500  0.000
Tc  0.255  0.755  0.500
Tc  0.745  0.245  0.500

Calculated values
ΔH_f (0 K): 0.602 eV per atom
crystal system: orthorhombic
space group: Immm


DFT (PBE-GGA) results for KTcGe3 after structural relaxation.

Cell: 4.916 4.916 4.916 Å, 90.00 90.00 90.00°
Atoms (fractional coordinates):
K  0.000  0.000  0.000
Tc  0.500  0.500  0.500
Ge  0.000  0.500  0.500
Ge  0.500  0.000  0.500
Ge  0.500  0.500  0.000

Calculated values
ΔH_f (0 K): 0.116 eV per atom
crystal system: cubic
space group: Pm-3m
offset from the most stable computed form: 0.000 eV/atom


DFT (PBE-GGA) results for LaP3Ru4 after structural relaxation.

Cell: 4.030 4.030 7.996 Å, 90.00 90.00 90.00°
Atoms (fractional coordinates):
La  0.000  0.000  0.000
P  0.000  0.000  0.500
P  0.500  0.500  0.185
P  0.500  0.500  0.815
Ru  0.000  0.500  0.326
Ru  0.000  0.500  0.674
Ru  0.500  0.000  0.326
Ru  0.500  0.000  0.674

Calculated values
ΔH_f (0 K): -0.796 eV per atom
crystal system: tetragonal
space group: P4/mmm